Entry 1:
VASP calculation (GGA-PBE) on Th2TiCrN5 after structural relaxation.

Cell: 7.095 7.095 9.946 Å, 90.00 90.00 152.56°
Atoms (fractional coordinates):
Th 0.122 0.878 0.500
Th 0.134 0.866 0.125
Th 0.866 0.134 0.625
Th 0.878 0.122 0.000
Ti 0.204 0.796 0.824
Ti 0.796 0.204 0.324
Cr 0.446 0.554 0.270
Cr 0.554 0.446 0.770
N 0.041 0.959 0.846
N 0.296 0.704 0.470
N 0.316 0.684 0.186
N 0.346 0.654 0.817
N 0.499 0.501 0.102
N 0.501 0.499 0.602
N 0.654 0.346 0.317
N 0.684 0.316 0.686
N 0.704 0.296 0.970
N 0.959 0.041 0.346

SG: Cmc2_1 (36)
total moment: 1.32 μB per formula unit
raw formation energy: -1.29 eV per atom
density of states at the Fermi level: 3.5 states/eV/f.u.



Entry 2:
VASP calculation (GGA-PBE) on Ac2La2Ho after structural relaxation.

Cell: 9.882 9.882 9.882 Å, 152.50 152.50 39.29°
Atoms (fractional coordinates):
Ac 0.094 0.094 0.000
Ac 0.906 0.906 0.000
La 0.250 0.750 0.500
La 0.750 0.250 0.500
Ho 0.500 0.500 0.000

SG: I4/mmm (139)
total moment: 0.00 μB per formula unit
DFT total energy: -4.164 eV per atom
density of states at the Fermi level: 8.4 states/eV/f.u.



Entry 3:
VASP calculation (GGA-PBE) on Rb3CuS after structural relaxation.

Cell: 6.355 6.355 6.355 Å, 90.00 90.00 90.00°
Atoms (fractional coordinates):
Rb 0.000 0.000 0.500
Rb 0.000 0.500 0.000
Rb 0.500 0.000 0.000
Cu 0.500 0.500 0.500
S 0.000 0.000 0.000

offset from the most stable computed form: 0 meV per atom
SG: Pm-3m (221)
total moment: 0.00 μB per formula unit
raw formation energy: -0.31 eV per atom
density of states at the Fermi level: 0.0 states/eV/f.u.



Entry 4:
VASP calculation (GGA-PBE) on PdAu2Se4 after structural relaxation.

Cell: 7.997 7.997 7.997 Å, 126.30 123.94 81.35°
Atoms (fractional coordinates):
Pd 0.000 0.000 0.000
Pd 0.500 0.000 0.500
Au 0.000 0.000 0.500
Au 0.000 0.500 0.000
Au 0.399 0.649 0.750
Au 0.601 0.351 0.250
Se 0.191 0.209 0.982
Se 0.253 0.242 0.489
Se 0.253 0.764 0.011
Se 0.273 0.791 0.482
Se 0.727 0.209 0.518
Se 0.747 0.236 0.989
Se 0.747 0.758 0.511
Se 0.809 0.791 0.018

SG: Imma (74)
total moment: 0.00 μB per formula unit
raw formation energy: -0.08 eV per atom
density of states at the Fermi level: 2.9 states/eV/f.u.



Entry 5:
VASP calculation (GGA-PBE) on TbEu2Pb after structural relaxation.

Cell: 4.939 4.939 5.221 Å, 90.00 90.00 90.00°
Atoms (fractional coordinates):
Tb 0.000 0.000 0.000
Eu 0.000 0.500 0.500
Eu 0.500 0.000 0.500
Pb 0.500 0.500 0.000

offset from the most stable computed form: 0 meV per atom
SG: P4/mmm (123)
total moment: 14.73 μB per formula unit
density of states at the Fermi level: 3.5 states/eV/f.u.



Entry 6:
VASP calculation (GGA-PBE) on Cs3TlCo2Cl8 after structural relaxation.

Cell: 7.710 7.710 9.873 Å, 90.00 90.00 120.00°
Atoms (fractional coordinates):
Cs 0.000 0.000 0.000
Cs 0.333 0.667 0.646
Cs 0.667 0.333 0.354
Tl 0.000 0.000 0.500
Co 0.333 0.667 0.208
Co 0.667 0.333 0.792
Cl 0.177 0.353 0.298
Cl 0.177 0.823 0.298
Cl 0.333 0.667 0.985
Cl 0.353 0.177 0.702
Cl 0.647 0.823 0.298
Cl 0.667 0.333 0.015
Cl 0.823 0.177 0.702
Cl 0.823 0.647 0.702

SG: P-3m1 (164)
total moment: 6.00 μB per formula unit
raw formation energy: -1.27 eV per atom



Entry 7:
VASP calculation (GGA-PBE) on Ta2Te3 after structural relaxation.

Cell: 12.319 12.319 12.319 Å, 16.38 16.38 16.38°
Atoms (fractional coordinates):
Ta 0.109 0.109 0.109
Ta 0.891 0.891 0.891
Te 0.277 0.277 0.277
Te 0.500 0.500 0.500
Te 0.723 0.723 0.723

SG: R-3m (166)
total moment: 0.00 μB per formula unit
raw formation energy: -0.01 eV per atom
density of states at the Fermi level: 3.5 states/eV/f.u.



Entry 8:
VASP calculation (GGA-PBE) on SmErTlRh after structural relaxation.

Cell: 5.148 5.148 5.148 Å, 60.00 60.00 60.00°
Atoms (fractional coordinates):
Sm 0.000 0.000 0.000
Er 0.500 0.500 0.500
Tl 0.250 0.250 0.250
Rh 0.750 0.750 0.750

offset from the most stable computed form: 128 meV per atom
SG: F-43m (216)
total moment: 0.00 μB per formula unit
density of states at the Fermi level: 2.4 states/eV/f.u.